(1)
First-principles (PBE-GGA) data for an optimized crystal structure of SrMg2Re, as listed in Alexandria via LeMat-Bulk.

Results
Formation energy from the elements = 809 meV per atom
Energy above the lowest structure with this stoichiometry = 282 meV/atom
Energy = -3.52 eV/atom
DOS at the Fermi energy = 0.90 states/eV/atom
SG = No. 47

```
SrMg2Re
1.0
3.0113 0.0000 0.0000
0.0000 5.4575 0.0000
0.0000 0.0000 5.4935
Re Mg Sr
1 2 1
direct
0.5000 0.0000 0.5000
0.0000 0.0000 0.0000
0.5000 0.5000 0.0000
0.0000 0.5000 0.5000
```

=====

(2)
First-principles (PBE-GGA) data for an optimized crystal structure of NaMn2TlIn, as listed in Alexandria via LeMat-Bulk.

Results
Formation energy from the elements = 776 meV per atom
Energy above the lowest structure with this stoichiometry = 0 meV/atom
Energy = -4.18 eV/atom
DOS at the Fermi energy = 0.63 states/eV/atom
SG = No. 123

```
NaMn2TlIn
1.0
5.1771 0.0000 0.0000
0.0000 5.6100 0.0000
0.0000 0.0000 5.1771
Na In Mn Tl
1 1 2 1
direct
0.0000 0.5000 0.0000
0.0000 0.0000 0.0000
0.5000 0.0000 0.0000
0.0000 0.0000 0.5000
0.5000 0.5000 0.5000
```

=====

(3)
First-principles (PBE-GGA) data for an optimized crystal structure of CsNdDy4S8, as listed in Alexandria via LeMat-Bulk.

Results
Energy = -5.93 eV/atom
DOS at the Fermi energy = 0.00 states/eV/atom
SG = No. 160
E_form (uncorrected) = -1.858 eV/atom

```
CsNdDy4S8
1.0
8.3066 0.0000 0.0000
4.1533 7.1937 0.0000
4.1533 2.3979 6.9900
S Dy Cs Nd
8 4 1 1
direct
0.8113 0.2357 0.7173
0.7542 0.2323 0.2592
0.7565 0.7565 0.7306
0.2357 0.2357 0.7173
0.2259 0.2259 0.3224
0.2357 0.8113 0.7173
0.2323 0.7542 0.2592
0.7542 0.7542 0.2592
0.0036 0.4877 0.5052
0.0036 0.0036 0.5052
0.6256 0.6256 0.1231
0.4877 0.0036 0.5052
0.3683 0.3683 0.8950
0.0055 0.0055 0.9835
```

=====

(4)
First-principles (PBE-GGA) data for an optimized crystal structure of BaSr2Si2, as listed in Alexandria via LeMat-Bulk.

Results
Energy above the lowest structure with this stoichiometry = 22 meV/atom
Energy = -3.49 eV/atom
DOS at the Fermi energy = 0.64 states/eV/atom
SG = No. 12
E_form (uncorrected) = -0.264 eV/atom

```
BaSr2Si2
1.0
-0.4080 0.4810 4.0342
6.1547 -0.6459 0.6995
-0.1394 6.6003 -2.8675
Ba Sr Si
1 2 2
direct
0.0000 0.0000 0.0000
0.6445 0.5747 0.2889
0.3555 0.4253 0.7111
0.7239 0.0935 0.4479
0.2761 0.9065 0.5521
```

=====

(5)
First-principles (PBE-GGA) data for an optimized crystal structure of Co2TcBr, as listed in Alexandria via LeMat-Bulk.

Results
Energy above the lowest structure with this stoichiometry = 574 meV/atom
Energy = -5.48 eV/atom
DOS at the Fermi energy = 2.26 states/eV/atom
SG = No. 225
E_form (uncorrected) = 1.087 eV/atom

```
Co2TcBr
1.0
0.0000 3.0528 3.0528
3.0528 0.0000 3.0528
3.0528 3.0528 0.0000
Co Tc Br
2 1 1
direct
0.2500 0.2500 0.2500
0.7500 0.7500 0.7500
0.5000 0.5000 0.5000
0.0000 0.0000 0.0000
```

=====

(6)
First-principles (PBE-GGA) data for an optimized crystal structure of Hf4BP, as listed in Alexandria via LeMat-Bulk.

Results
Formation energy from the elements = -545 meV per atom
Energy = -9.19 eV/atom
DOS at the Fermi energy = 0.54 states/eV/atom
SG = No. 109

```
Hf4BP
1.0
-6.7594 -0.1534 -0.1902
3.0211 -5.8736 1.4570
1.6831 4.3008 4.9416
Hf P B
8 2 2
direct
0.2685 0.5735 0.3051
0.7713 0.9823 0.7890
0.7134 0.5185 0.1949
0.7323 0.4432 0.7110
0.1932 0.9823 0.2110
0.7323 0.0213 0.2890
0.3235 0.5185 0.8051
0.2685 0.9634 0.6949
0.9924 0.4924 0.5000
0.2424 0.2424 0.0000
0.5061 0.0061 0.5000
0.7561 0.7561 0.0000
```

=====

(7)
First-principles (PBE-GGA) data for an optimized crystal structure of YUSb2, as listed in Alexandria via LeMat-Bulk.

Results
Energy above the lowest structure with this stoichiometry = 206 meV/atom
Energy = -6.97 eV/atom
DOS at the Fermi energy = 2.04 states/eV/atom
SG = No. 123
E_form (uncorrected) = -0.469 eV/atom

```
YUSb2
1.0
-1.3560 0.8880 -2.8638
-4.5617 -3.1154 1.1939
-2.3891 4.4619 2.5148
Sb U Y
2 1 1
direct
0.0000 0.0000 0.5000
0.0000 0.5000 0.0000
0.5000 0.0000 0.0000
0.5000 0.5000 0.5000
```

=====

(8)
First-principles (PBE-GGA) data for an optimized crystal structure of Be3VPb, as listed in Alexandria via LeMat-Bulk.

Results
Formation energy from the elements = 1705 meV per atom
Energy above the lowest structure with this stoichiometry = 457 meV/atom
Energy = -3.10 eV/atom
DOS at the Fermi energy = 1.49 states/eV/atom
SG = No. 221

```
Be3VPb
1.0
-1.6944 2.9910 -3.0420
-0.2252 -3.3314 -3.1500
-4.2602 -1.0135 1.3764
Pb Be V
1 3 1
direct
0.0000 0.0000 0.0000
0.5000 0.0000 0.0000
0.0000 0.0000 0.5000
0.0000 0.5000 0.0000
0.5000 0.5000 0.5000
```

=====

(9)
First-principles (PBE-GGA) data for an optimized crystal structure of CsNb, as listed in Alexandria via LeMat-Bulk.

Results
Formation energy from the elements = 3235 meV per atom
Energy above the lowest structure with this stoichiometry = 2335 meV/atom
Energy = -2.23 eV/atom
DOS at the Fermi energy = 1.21 states/eV/atom
SG = No. 186

```
CsNb
1.0
4.4035 0.0000 0.0000
-2.2017 3.8135 0.0000
0.0000 0.0000 7.6914
Cs Nb
2 2
direct
0.6667 0.3333 0.2267
0.3333 0.6667 0.7267
0.3333 0.6667 0.3553
0.6667 0.3333 0.8553
```

=====

(10)
First-principles (PBE-GGA) data for an optimized crystal structure of SrLiMg2, as listed in Alexandria via LeMat-Bulk.

Results
Formation energy from the elements = 4 meV per atom
Energy above the lowest structure with this stoichiometry = 43 meV/atom
Energy = -1.69 eV/atom
DOS at the Fermi energy = 0.83 states/eV/atom
SG = No. 8

```
SrLiMg2
1.0
-4.3599 -0.3895 -3.4287
-4.1028 -3.6967 0.6458
-4.6938 1.7365 1.7056
Li Sr Mg
1 1 2
direct
0.2518 0.2518 0.2471
0.5002 0.5002 0.4997
0.9995 0.9995 0.0001
0.7484 0.7484 0.7531
```

=====

(11)
First-principles (PBE-GGA) data for an optimized crystal structure of LaBe2Tl, as listed in Alexandria via LeMat-Bulk.

Results
Formation energy from the elements = 115 meV per atom
Energy above the lowest structure with this stoichiometry = 51 meV/atom
Energy = -3.57 eV/atom
DOS at the Fermi energy = 0.43 states/eV/atom
SG = No. 166

```
LaBe2Tl
1.0
5.8106 0.0191 0.0122
4.2892 3.9200 0.0122
4.2892 1.6729 3.5452
Be Tl La
2 1 1
direct
0.4543 0.4543 0.4543
0.0457 0.0457 0.0457
0.7500 0.7500 0.7500
0.2500 0.2500 0.2500
```

=====

(12)
First-principles (PBE-GGA) data for an optimized crystal structure of NaUP3O11, as listed in Alexandria via LeMat-Bulk.

Results
Energy = -7.62 eV/atom
DOS at the Fermi energy = 0.00 states/eV/atom
SG = No. 14
E_form (uncorrected) = -2.408 eV/atom

```
NaUP3O11
1.0
13.6123 0.0000 0.0000
0.0000 7.1139 -0.0356
0.0000 2.5883 9.6703
O P U Na
44 12 4 4
direct
0.7915 0.5746 0.1782
0.0969 0.9521 0.2020
0.2123 0.8240 0.7554
0.9152 0.7393 0.9921
0.7539 0.8285 0.8752
0.1181 0.5837 0.4331
0.8955 0.7120 0.7487
0.0862 0.0384 0.5941
0.4138 0.0384 0.0941
0.6358 0.9024 0.6719
0.6045 0.7120 0.2487
0.5862 0.9616 0.9059
0.9031 0.0479 0.7980
0.6181 0.4163 0.0669
0.9747 0.6001 0.2319
0.0848 0.2607 0.0079
0.6743 0.3472 0.4289
0.1045 0.2880 0.2513
0.8819 0.4163 0.5669
0.2877 0.8240 0.2554
0.3819 0.5837 0.9331
0.3955 0.2880 0.7513
0.3257 0.6528 0.5711
0.4152 0.2607 0.5079
0.7461 0.8285 0.3752
0.7123 0.1760 0.7446
0.2461 0.1715 0.1248
0.8642 0.9024 0.1719
0.1743 0.6528 0.0711
0.0253 0.3999 0.7681
0.4747 0.3999 0.2681
0.7877 0.1760 0.2446
0.5848 0.7393 0.4921
0.3642 0.0976 0.3281
0.2085 0.4254 0.8218
0.5253 0.6001 0.7319
0.7085 0.5746 0.6782
0.2915 0.4254 0.3218
0.8257 0.3472 0.9289
0.2539 0.1715 0.6248
0.5969 0.0479 0.2980
0.4031 0.9521 0.7020
0.9138 0.9616 0.4059
0.1358 0.0976 0.8281
0.8700 0.8398 0.8432
0.6148 0.6884 0.6522
0.6676 0.9792 0.8046
0.8324 0.9792 0.3046
0.1676 0.0208 0.6954
0.8852 0.6884 0.1522
0.3324 0.0208 0.1954
0.1300 0.1602 0.1568
0.3852 0.3116 0.3478
0.3700 0.1602 0.6568
0.6300 0.8398 0.3432
0.1148 0.3116 0.8478
0.6524 0.3779 0.2480
0.3476 0.6221 0.7520
0.1524 0.6221 0.2520
0.8476 0.3779 0.7480
0.4850 0.7487 0.0635
0.0150 0.7487 0.5635
0.9850 0.2513 0.4365
0.5150 0.2513 0.9365
```